1.
Material: SrDyNO
Method: DFT, GGA-PBE
State: optimized geometry

a b c (Å): 3.858 5.810 7.020
angles (deg): 90.00 90.00 90.00
Sites, in units of the cell vectors:
O: 0.500 0.370 0.139
N: 0.000 0.914 0.308
Dy: 0.500 0.492 0.841
Sr: 0.000 0.977 0.663
Dy: 0.500 0.992 0.159
Sr: 0.000 0.477 0.337
N: 0.000 0.414 0.692
O: 0.500 0.870 0.861

Energy above the most stable polymorph in this dataset = 79.2 meV/atom
Volume = 157 Å³ per cell
Theoretical density = 5.91 g/cm3

=====

2.
Material: SrDyNO
Method: DFT, GGA-PBE
State: optimized geometry

a b c (Å): 4.154 4.154 8.284
angles (deg): 90.00 90.00 90.00
Sites, in units of the cell vectors:
N: 0.750 0.750 0.331
Dy: 0.750 0.750 0.891
Sr: 0.750 0.250 0.500
Dy: 0.250 0.250 0.109
O: 0.250 0.750 0.000
N: 0.250 0.250 0.669
Sr: 0.250 0.750 0.500
O: 0.750 0.250 0.000

Energy above the most stable polymorph in this dataset = 779.1 meV/atom
Volume = 143 Å³ per cell
Theoretical density = 6.51 g/cm3

=====

3.
Material: SrDyNO
Method: DFT, GGA-PBE
State: optimized geometry

a b c (Å): 7.112 8.302 5.026
angles (deg): 90.00 90.00 90.00
Sites, in units of the cell vectors:
O: 0.566 0.141 0.550
Dy: 0.414 0.383 0.542
O: 0.434 0.859 0.050
N: 0.094 0.390 0.563
N: 0.906 0.610 0.063
N: 0.594 0.610 0.563
Sr: 0.583 0.131 0.047
Dy: 0.586 0.617 0.042
Sr: 0.917 0.131 0.547
O: 0.934 0.141 0.050
Sr: 0.083 0.869 0.047
N: 0.406 0.390 0.063
Dy: 0.914 0.617 0.542
Sr: 0.417 0.869 0.547
Dy: 0.086 0.383 0.042
O: 0.066 0.859 0.550

Energy above the most stable polymorph in this dataset = 0.0 meV/atom
Volume = 297 Å³ per cell
Theoretical density = 6.27 g/cm3

=====

4.
Material: DyTaNO
Method: DFT, GGA-PBE
State: optimized geometry

a b c (Å): 3.512 5.793 6.062
angles (deg): 90.00 90.00 90.00
Sites, in units of the cell vectors:
N: 0.000 0.363 0.611
Dy: 0.500 0.492 0.854
O: 0.500 0.869 0.760
N: 0.000 0.863 0.389
Ta: 0.000 0.530 0.319
Dy: 0.500 0.992 0.146
Ta: 0.000 0.030 0.681
O: 0.500 0.369 0.240

Energy above the most stable polymorph in this dataset = 235.5 meV/atom
Volume = 123 Å³ per cell
Theoretical density = 10.06 g/cm3

=====

5.
Material: DyTaNO
Method: DFT, GGA-PBE
State: optimized geometry

a b c (Å): 3.415 5.792 6.020
angles (deg): 90.00 90.00 90.00
Sites, in units of the cell vectors:
Dy: 0.000 0.536 0.330
O: 0.500 0.317 0.223
Ta: 0.500 0.466 0.892
N: 0.000 0.934 0.295
Dy: 0.000 0.036 0.670
Ta: 0.500 0.966 0.108
N: 0.000 0.434 0.705
O: 0.500 0.817 0.777

Energy above the most stable polymorph in this dataset = 121.2 meV/atom
Volume = 119 Å³ per cell
Theoretical density = 10.42 g/cm3

=====

6.
Material: DyTaNO
Method: DFT, GGA-PBE
State: optimized geometry

a b c (Å): 6.263 7.519 5.089
angles (deg): 90.00 90.00 90.00
Sites, in units of the cell vectors:
Dy: 0.937 0.861 0.519
Ta: 0.372 0.659 0.520
Ta: 0.628 0.341 0.020
N: 0.926 0.853 0.024
O: 0.558 0.443 0.639
N: 0.074 0.147 0.524
O: 0.942 0.443 0.139
Ta: 0.128 0.659 0.020
Dy: 0.063 0.139 0.019
Dy: 0.437 0.139 0.519
Ta: 0.872 0.341 0.520
Dy: 0.563 0.861 0.019
N: 0.426 0.147 0.024
O: 0.442 0.557 0.139
O: 0.058 0.557 0.639
N: 0.574 0.853 0.524

Energy above the most stable polymorph in this dataset = 193.6 meV/atom
Volume = 240 Å³ per cell
Theoretical density = 10.35 g/cm3

=====

7.
Material: DyTaNO
Method: DFT, GGA-PBE
State: optimized geometry

a b c (Å): 4.013 4.013 7.951
angles (deg): 90.00 90.00 90.00
Sites, in units of the cell vectors:
Ta: 0.500 0.500 0.500
Dy: 0.000 0.500 0.128
N: 0.500 0.000 0.422
Dy: 0.500 0.000 0.872
O: 0.000 0.000 0.000
O: 0.500 0.500 0.000
Ta: 0.000 0.000 0.500
N: 0.000 0.500 0.578

Energy above the most stable polymorph in this dataset = 0.0 meV/atom
Volume = 128 Å³ per cell
Theoretical density = 9.68 g/cm3

=====

8.
Material: DyTaNO
Method: DFT, GGA-PBE
State: optimized geometry

a b c (Å): 4.738 4.738 4.471
angles (deg): 90.00 90.00 90.00
Sites, in units of the cell vectors:
Dy: 0.500 0.500 0.500
Ta: 0.500 0.000 0.000
Ta: 0.000 0.500 0.000
Dy: 0.000 0.000 0.500
O: 0.500 0.500 0.000
N: 0.500 0.000 0.500
N: 0.000 0.500 0.500
O: 0.000 0.000 0.000

Energy above the most stable polymorph in this dataset = 293.4 meV/atom
Volume = 100 Å³ per cell
Theoretical density = 12.36 g/cm3

=====

9.
Material: DyTaNO
Method: DFT, GGA-PBE
State: optimized geometry

a b c (Å): 6.487 7.648 4.542
angles (deg): 90.00 90.00 90.00
Sites, in units of the cell vectors:
N: 0.577 0.913 0.551
Ta: 0.609 0.867 0.051
Dy: 0.546 0.371 0.051
Dy: 0.454 0.629 0.551
Ta: 0.109 0.133 0.051
O: 0.099 0.655 0.551
Ta: 0.391 0.133 0.551
O: 0.401 0.655 0.051
Ta: 0.891 0.867 0.551
Dy: 0.954 0.371 0.551
O: 0.901 0.345 0.051
N: 0.423 0.087 0.051
N: 0.077 0.087 0.551
Dy: 0.046 0.629 0.051
N: 0.923 0.913 0.051
O: 0.599 0.345 0.551

Energy above the most stable polymorph in this dataset = 17.3 meV/atom
Volume = 225 Å³ per cell
Theoretical density = 11.01 g/cm3

=====

10.
Material: TbDyNO
Method: DFT, GGA-PBE
State: optimized geometry

a b c (Å): 4.258 4.258 8.007
angles (deg): 90.00 90.00 90.00
Sites, in units of the cell vectors:
O: 0.500 0.000 0.000
Tb: 0.500 0.500 0.894
O: 0.000 0.500 0.000
N: 0.500 0.500 0.383
Tb: 0.000 0.000 0.106
N: 0.000 0.000 0.617
Dy: 0.500 0.000 0.500
Dy: 0.000 0.500 0.500

Energy above the most stable polymorph in this dataset = 468.0 meV/atom
Volume = 145 Å³ per cell
Theoretical density = 8.04 g/cm3

=====

11.
Material: TbDyNO
Method: DFT, GGA-PBE
State: optimized geometry

a b c (Å): 6.621 8.066 4.947
angles (deg): 90.00 90.00 90.00
Sites, in units of the cell vectors:
Dy: 0.070 0.122 0.051
O: 0.594 0.870 0.551
N: 0.931 0.374 0.050
Dy: 0.430 0.122 0.551
Tb: 0.417 0.627 0.551
O: 0.094 0.130 0.551
Tb: 0.583 0.373 0.050
N: 0.431 0.626 0.050
O: 0.406 0.130 0.051
O: 0.906 0.870 0.051
N: 0.569 0.374 0.550
Tb: 0.083 0.627 0.050
Dy: 0.930 0.878 0.551
Tb: 0.917 0.373 0.551
N: 0.069 0.626 0.550
Dy: 0.570 0.878 0.051

Energy above the most stable polymorph in this dataset = 30.8 meV/atom
Volume = 264 Å³ per cell
Theoretical density = 8.84 g/cm3

=====

12.
Material: TbDyNO
Method: DFT, GGA-PBE
State: optimized geometry

a b c (Å): 3.974 4.882 6.890
angles (deg): 90.00 90.00 90.00
Sites, in units of the cell vectors:
O: 0.500 0.438 0.176
Dy: 0.000 0.438 0.333
Tb: 0.500 0.939 0.165
Dy: 0.000 0.938 0.667
N: 0.000 0.939 0.337
N: 0.000 0.439 0.663
O: 0.500 0.938 0.824
Tb: 0.500 0.439 0.835

Energy above the most stable polymorph in this dataset = 0.0 meV/atom
Volume = 134 Å³ per cell
Theoretical density = 8.73 g/cm3